The following is a GGA-PBE calculation of a relaxed LiB2Ir3 crystal, from the Alexandria database.

The structure in extended XYZ format:
```
12
Lattice="2.6427 -0.0176 -0.7075 -2.3434 6.5331 -3.6261 0.8513 -0.4591 8.4814" Properties=species:S:1:pos:R:3 pbc="T T T"
Li 0.2203 2.2253 3.4125
Li 0.9304 3.8311 0.7353
B 1.1626 0.6832 6.9707
B -0.9704 4.9704 -1.1033
B -0.0119 5.3731 -2.8228
B 2.1210 1.0860 5.2512
Ir -0.0057 5.6206 2.4841
Ir -0.8774 4.2455 4.5517
Ir 0.1497 3.2577 -2.1668
Ir 1.1564 0.4357 1.6638
Ir 0.4257 -0.2296 4.2407
Ir 2.0281 1.8108 -0.4038
```

Values from the calculation:
DFT formation energy = -30 meV per atom
total magnetization = 0.00 Bohr magnetons per cell
total DFT energy (no corrections) = -84.058 eV for the cell shown